Entry 1:
Compound: CdSnAu2
Source: the Alexandria database
Functional: PBE-GGA
Structure: relaxed

Unit cell a=3.1594 b=5.1627 c=5.1627 alpha=90.00 beta=90.00 gamma=90.00
Closest atoms and distances in Å follow each position.
Atoms (fractional coordinates):
Au: 0.0000 0.0000 0.5000  4 Cd 3.03, 4 Sn 3.03, 2 Au 3.16
Au: 0.0000 0.5000 0.0000  4 Cd 3.03, 4 Sn 3.03, 2 Au 3.16
Cd: 0.5000 0.0000 0.0000  8 Au 3.03, 2 Cd 3.16
Sn: 0.5000 0.5000 0.5000  8 Au 3.03, 2 Sn 3.16

Summary:
**Final energy**: -2.962 eV per atom
**DOS(E_F)**: 1.27 states/eV per cell
**Energy of formation from the pure elements**: -0.38 eV per formula unit
**Total magnetic moment**: 0.000 μB per atom
**Space group**: No. 123

***

Entry 2:
Compound: CdSnAu3
Source: the Alexandria database
Functional: PBE-GGA
Structure: relaxed

Unit cell a=4.5817 b=7.3572 c=6.6990 alpha=90.00 beta=70.15 gamma=90.00
Closest atoms and distances in Å follow each position.
Atoms (fractional coordinates):
Au: 0.1754 0.5107 0.1490  4 Au 2.87-2.97, 3 Sn 2.92-3.03, 3 Cd 2.94-3.08
Au: 0.1754 0.9893 0.1490  4 Au 2.87-2.97, 3 Sn 2.92-3.03, 3 Cd 2.94-3.08
Au: 0.8246 0.0107 0.8510  4 Au 2.87-2.97, 3 Sn 2.92-3.03, 3 Cd 2.94-3.08
Au: 0.9990 0.7500 0.5086  2 Sn 2.86, 2 Cd 2.87-2.88, 4 Au 2.87-2.89
Au: 0.0010 0.2500 0.4914  2 Sn 2.86, 2 Cd 2.87-2.88, 4 Au 2.87-2.89
Au: 0.8246 0.4893 0.8510  4 Au 2.87-2.97, 3 Sn 2.92-3.03, 3 Cd 2.94-3.08
Cd: 0.6342 0.7500 0.2334  8 Au 2.87-3.08
Cd: 0.3658 0.2500 0.7666  8 Au 2.87-3.08
Sn: 0.3635 0.7500 0.7801  8 Au 2.86-3.03
Sn: 0.6365 0.2500 0.2199  8 Au 2.86-3.03

Summary:
**Final energy**: -3.085 eV per atom
**DOS(E_F)**: 1.94 states/eV per cell
**E above lowest polymorph**: 0 meV/atom
**Energy of formation from the pure elements**: -0.68 eV per formula unit
**Total magnetic moment**: 0.000 μB per atom
**Space group**: No. 11

***

Entry 3:
Compound: Cd5Sn2Au5
Source: the Alexandria database
Functional: PBE-GGA
Structure: relaxed

Unit cell a=4.7133 b=4.7132 c=13.9326 alpha=81.74 beta=81.74 gamma=60.69
Closest atoms and distances in Å follow each position.
Atoms (fractional coordinates):
Au: 0.0000 0.0000 0.0000  6 Cd 2.84-2.86, 2 Sn 2.85
Au: 0.1446 0.1446 0.5637  7 Cd 2.86-3.00, 1 Sn 3.14, 1 Au 3.17
Au: 0.4226 0.4226 0.7305  3 Sn 2.86, 4 Cd 2.94-3.17
Au: 0.8554 0.8554 0.4363  7 Cd 2.86-3.00, 1 Sn 3.14, 1 Au 3.17
Au: 0.5774 0.5774 0.2695  3 Sn 2.86, 4 Cd 2.94-3.17
Cd: 0.2183 0.2183 0.3487  7 Au 2.94-3.00
Cd: 0.7817 0.7817 0.6513  7 Au 2.94-3.00
Cd: 0.3164 0.3164 0.0604  3 Au 2.84-2.86, 1 Cd 3.17
Cd: 0.6836 0.6836 0.9396  3 Au 2.84-2.86, 1 Cd 3.17
Cd: 0.5000 0.5000 0.5000  8 Au 2.86-3.17
Sn: 0.9309 0.9309 0.2075  5 Au 2.85-3.14
Sn: 0.0691 0.0691 0.7925  5 Au 2.85-3.14

Summary:
**Final energy**: -2.542 eV per atom
**DOS(E_F)**: 3.62 states/eV per cell
**Energy of formation from the pure elements**: -1.54 eV per formula unit
**Total magnetic moment**: 0.000 μB per atom
**Space group**: No. 12

***

Entry 4:
Compound: Cd3SnAu3
Source: the Alexandria database
Functional: PBE-GGA
Structure: relaxed

Unit cell a=6.8303 b=6.8303 c=7.2951 alpha=90.42 beta=90.42 gamma=110.31
Closest atoms and distances in Å follow each position.
Atoms (fractional coordinates):
Au: 0.9052 0.5021 0.6935  1 Sn 2.76, 3 Cd 2.78-2.85
Au: 0.9351 0.9351 0.1789  5 Cd 2.76-2.97, 2 Sn 2.79-3.08, 1 Au 2.81
Au: 0.0649 0.0649 0.8211  5 Cd 2.76-2.97, 2 Sn 2.79-3.08, 1 Au 2.81
Au: 0.0948 0.4979 0.3065  1 Sn 2.76, 3 Cd 2.78-2.85
Au: 0.5021 0.9052 0.6935  1 Sn 2.76, 3 Cd 2.78-2.85
Au: 0.4979 0.0948 0.3065  1 Sn 2.76, 3 Cd 2.78-2.85
Cd: 0.3479 0.3479 0.5977  1 Au 2.76, 1 Cd 2.78
Cd: 0.1374 0.8626 0.5000  6 Au 2.78-2.84, 1 Cd 3.08
Cd: 0.6521 0.6521 0.4023  1 Au 2.76, 1 Cd 2.78
Cd: 0.8626 0.1374 0.5000  6 Au 2.78-2.84, 1 Cd 3.08
Cd: 0.7664 0.2336 0.0000  4 Au 2.85-2.97
Cd: 0.2336 0.7664 0.0000  4 Au 2.85-2.97
Sn: 0.6799 0.6799 0.9081  4 Au 2.76-3.08
Sn: 0.3201 0.3201 0.0919  4 Au 2.76-3.08

Summary:
**Final energy**: -2.447 eV per atom
**DOS(E_F)**: 4.39 states/eV per cell
**E above lowest polymorph**: 43 meV/atom
**Energy of formation from the pure elements**: -0.55 eV per formula unit
**Total magnetic moment**: 0.000 μB per atom
**Space group**: No. 12

***

Entry 5:
Compound: Cd2SnAu2
Source: the Alexandria database
Functional: PBE-GGA
Structure: relaxed

Unit cell a=3.9486 b=3.9486 c=7.9006 alpha=75.53 beta=75.53 gamma=90.00
Closest atoms and distances in Å follow each position.
Atoms (fractional coordinates):
Sn: 0.0000 0.0000 0.0000  8 Cd 3.19
Cd: 0.6050 0.6050 0.7901  4 Au 2.91, 1 Cd 3.10, 4 Sn 3.19
Cd: 0.3950 0.3950 0.2099  4 Au 2.91, 1 Cd 3.10, 4 Sn 3.19
Au: 0.2500 0.7500 0.5000  4 Au 2.79, 4 Cd 2.91
Au: 0.7500 0.2500 0.5000  4 Au 2.79, 4 Cd 2.91

Summary:
**Final energy**: -2.482 eV per atom
**DOS(E_F)**: 1.52 states/eV per cell
**Energy of formation from the pure elements**: -0.02 eV per formula unit
**Total magnetic moment**: 0.000 μB per atom
**Space group**: No. 139

***

Entry 6:
Compound: Sr2Cd3SnAu4
Source: the Alexandria database
Functional: PBE-GGA
Structure: relaxed

Unit cell a=4.6892 b=4.6892 c=11.6670 alpha=90.00 beta=90.00 gamma=90.00
Closest atoms and distances in Å follow each position.
Atoms (fractional coordinates):
Au: 0.0000 0.5000 0.3620  3 Cd 2.72-2.84, 2 Sn 2.84
Au: 0.5000 0.5000 0.0000  4 Cd 2.79
Au: 0.0000 0.0000 0.0000  4 Cd 2.79
Au: 0.5000 0.0000 0.6380  3 Cd 2.72-2.84, 2 Sn 2.84
Sn: 0.5000 0.5000 0.5000  4 Au 2.84
Sr: 0.0000 0.5000 0.7559  6 Cd 3.58-3.80, 8 Au 3.59-3.69, 2 Sn 3.80
Sr: 0.5000 0.0000 0.2441  6 Cd 3.58-3.80, 8 Au 3.59-3.69, 2 Sn 3.80
Cd: 0.0000 0.5000 0.1292  5 Au 2.72-2.79
Cd: 0.5000 0.0000 0.8708  5 Au 2.72-2.79
Cd: 0.0000 0.0000 0.5000  4 Au 2.84

Summary:
**Final energy**: -2.788 eV per atom
**DOS(E_F)**: 5.16 states/eV per cell
**Energy of formation from the pure elements**: -4.66 eV per formula unit
**Total magnetic moment**: 0.000 μB per atom
**Space group**: No. 115

***

Entry 7:
Compound: SrCdSn2Au
Source: the Alexandria database
Functional: PBE-GGA
Structure: relaxed

Unit cell a=4.7591 b=4.7591 c=6.8984 alpha=110.18 beta=110.18 gamma=90.00
Closest atoms and distances in Å follow each position.
Atoms (fractional coordinates):
Sn: 0.6185 0.6185 0.2369  1 Sn 2.85, 2 Cd 2.86, 2 Au 2.86
Sn: 0.3815 0.3815 0.7631  1 Sn 2.85, 2 Cd 2.86, 2 Au 2.86
Au: 0.7500 0.2500 0.5000  4 Sn 2.86
Sr: 0.0000 0.0000 0.0000  8 Sn 3.66, 4 Cd 3.84, 4 Au 3.84
Cd: 0.2500 0.7500 0.5000  4 Sn 2.86

Summary:
**Final energy**: -3.193 eV per atom
**DOS(E_F)**: 1.49 states/eV per cell
**Energy of formation from the pure elements**: -2.08 eV per formula unit
**Total magnetic moment**: 0.000 μB per atom
**Space group**: No. 119

***

Entry 8:
Compound: Sr2CdSn3Au4
Source: the Alexandria database
Functional: PBE-GGA
Structure: relaxed

Unit cell a=4.7193 b=4.7193 c=11.5131 alpha=90.00 beta=90.00 gamma=90.00
Closest atoms and distances in Å follow each position.
Atoms (fractional coordinates):
Cd: 0.5000 0.5000 0.5000  4 Au 2.84
Au: 0.5000 0.0000 0.6366  3 Sn 2.70-2.84, 2 Cd 2.84
Au: 0.0000 0.5000 0.3634  3 Sn 2.70-2.84, 2 Cd 2.84
Au: 0.5000 0.5000 0.0000  4 Sn 2.79
Au: 0.0000 0.0000 0.0000  4 Sn 2.79
Sr: 0.0000 0.5000 0.7592  6 Sn 3.58-3.80, 8 Au 3.62-3.64, 2 Cd 3.80
Sr: 0.5000 0.0000 0.2408  6 Sn 3.58-3.80, 8 Au 3.62-3.64, 2 Cd 3.80
Sn: 0.0000 0.0000 0.5000  4 Au 2.84
Sn: 0.5000 0.0000 0.8707  5 Au 2.70-2.79
Sn: 0.0000 0.5000 0.1293  5 Au 2.70-2.79

Summary:
**Final energy**: -3.483 eV per atom
**DOS(E_F)**: 5.22 states/eV per cell
**Energy of formation from the pure elements**: -5.44 eV per formula unit
**Total magnetic moment**: 0.000 μB per atom
**Space group**: No. 115

***

Entry 9:
Compound: Sr2Cd3Sn4Au
Source: the Alexandria database
Functional: PBE-GGA
Structure: relaxed

Unit cell a=4.7781 b=4.7781 c=12.3200 alpha=90.00 beta=90.00 gamma=90.00
Closest atoms and distances in Å follow each position.
Atoms (fractional coordinates):
Sr: 0.5000 0.0000 0.2712  4 Sn 3.59, 6 Cd 3.69-3.72, 2 Au 3.69
Sr: 0.0000 0.5000 0.7288  4 Sn 3.59, 6 Cd 3.69-3.72, 2 Au 3.69
Au: 0.5000 0.5000 0.5000  4 Sn 2.88
Cd: 0.5000 0.0000 0.8554  5 Sn 2.78-2.98
Cd: 0.0000 0.5000 0.1446  5 Sn 2.78-2.98
Cd: 0.0000 0.0000 0.5000  4 Sn 2.88
Sn: 0.5000 0.5000 0.0000  4 Cd 2.98
Sn: 0.5000 0.0000 0.6300  3 Cd 2.78-2.88, 2 Au 2.88
Sn: 0.0000 0.5000 0.3700  3 Cd 2.78-2.88, 2 Au 2.88
Sn: 0.0000 0.0000 0.0000  4 Cd 2.98

Summary:
**Final energy**: -2.905 eV per atom
**DOS(E_F)**: 3.83 states/eV per cell
**Energy of formation from the pure elements**: -3.65 eV per formula unit
**Total magnetic moment**: 0.000 μB per atom
**Space group**: No. 115

***

Entry 10:
Compound: Sr2CdSnAu6
Source: the Alexandria database
Functional: PBE-GGA
Structure: relaxed

Unit cell a=7.4211 b=7.4211 c=7.4212 alpha=60.00 beta=60.00 gamma=90.00
Closest atoms and distances in Å follow each position.
Atoms (fractional coordinates):
Sn: 0.0000 0.0000 0.0000  6 Au 2.63
Au: 0.2502 0.7498 0.0000  1 Cd 2.62, 1 Sn 2.63
Au: 0.7498 0.2502 0.0000  1 Cd 2.62, 1 Sn 2.63
Au: 0.7498 0.7498 0.0000  1 Cd 2.62, 1 Sn 2.63
Au: 0.2502 0.2502 0.0000  1 Cd 2.62, 1 Sn 2.63
Au: 0.7498 0.7498 0.5004  1 Cd 2.62, 1 Sn 2.63
Au: 0.2502 0.2502 0.4996  1 Cd 2.62, 1 Sn 2.63
Cd: 0.5000 0.5000 0.0000  6 Au 2.62
Sr: 0.7500 0.2500 0.5000  12 Au 3.71
Sr: 0.2500 0.7500 0.5000  12 Au 3.71

Summary:
**Final energy**: -3.019 eV per atom
**DOS(E_F)**: 3.03 states/eV per cell
**Energy of formation from the pure elements**: -2.25 eV per formula unit
**Total magnetic moment**: 0.000 μB per atom
**Space group**: No. 225

***

Q: Look up the total magnetic moment of the fifth one.
A: 0.000 μB per atom